# KSr2, relaxed, DFT GGA-PBEsol
# **Formation energy**: 79 meV/atom
data_KSr2
_symmetry_space_group_name_H-M 'I 4/m m m'
_symmetry_Int_Tables_number 139
_symmetry_space_group_name_Hall '-I 4 2'
_cell_length_a 4.164
_cell_length_b 4.164
_cell_length_c 19.594
_cell_angle_alpha 90.00
_cell_angle_beta 90.00
_cell_angle_gamma 90.00
loop_
_atom_site_label
_atom_site_type_symbol
_atom_site_fract_x
_atom_site_fract_y
_atom_site_fract_z
K1 K 0.000 0.000 0.000
Sr1 Sr 0.000 0.000 0.326

# BeGeI3, relaxed, DFT GGA-PBEsol
# **Formation energy from raw total energies**: 557 meV per atom
data_BeGeI3
_symmetry_space_group_name_H-M 'P m -3 m'
_symmetry_Int_Tables_number 221
_symmetry_space_group_name_Hall '-P 4 2 3'
_cell_length_a 5.625
_cell_length_b 5.625
_cell_length_c 5.625
_cell_angle_alpha 90.00
_cell_angle_beta 90.00
_cell_angle_gamma 90.00
loop_
_atom_site_label
_atom_site_type_symbol
_atom_site_fract_x
_atom_site_fract_y
_atom_site_fract_z
Be1 Be 0.000 0.000 0.000
Ge1 Ge 0.500 0.500 0.500
I1 I 0.000 0.500 0.500

# Ta2P, relaxed, DFT GGA-PBEsol
# **Formation energy**: -801 meV/atom
data_Ta2P
_symmetry_space_group_name_H-M 'P n n m'
_symmetry_Int_Tables_number 58
_symmetry_space_group_name_Hall '-P 2 2n'
_cell_length_a 11.505
_cell_length_b 14.385
_cell_length_c 3.382
_cell_angle_alpha 90.00
_cell_angle_beta 90.00
_cell_angle_gamma 90.00
loop_
_atom_site_label
_atom_site_type_symbol
_atom_site_fract_x
_atom_site_fract_y
_atom_site_fract_z
Ta1 Ta 0.030 0.109 0.000
Ta2 Ta 0.078 0.745 0.500
Ta3 Ta 0.087 0.580 0.000
Ta4 Ta 0.122 0.422 0.500
Ta5 Ta 0.152 0.977 0.500
Ta6 Ta 0.196 0.205 0.500
P1 P 0.078 0.295 0.000
P2 P 0.184 0.848 0.000
P3 P 0.244 0.583 0.500

# LiCa2Cd, relaxed, DFT GGA-PBEsol
# **Formation energy**: -102 meV/atom
# **Distance to the lowest polymorph of the same formula**: 94.1 meV per atom
data_LiCa2Cd
_symmetry_space_group_name_H-M 'I -4 m 2'
_symmetry_Int_Tables_number 119
_symmetry_space_group_name_Hall 'I -4 -2'
_cell_length_a 4.745
_cell_length_b 4.745
_cell_length_c 9.901
_cell_angle_alpha 90.00
_cell_angle_beta 90.00
_cell_angle_gamma 90.00
loop_
_atom_site_label
_atom_site_type_symbol
_atom_site_fract_x
_atom_site_fract_y
_atom_site_fract_z
Li1 Li 0.000 0.000 0.000
Ca1 Ca 0.000 0.000 0.500
Ca2 Ca 0.000 0.500 0.250
Cd1 Cd 0.000 0.500 0.750

# YWN2O, relaxed, DFT GGA-PBEsol
# **Formation energy from raw total energies**: -1469 meV per atom
data_YWN2O
_symmetry_space_group_name_H-M 'P 4/m m m'
_symmetry_Int_Tables_number 123
_symmetry_space_group_name_Hall '-P 4 2'
_cell_length_a 3.967
_cell_length_b 3.967
_cell_length_c 3.832
_cell_angle_alpha 90.00
_cell_angle_beta 90.00
_cell_angle_gamma 90.00
loop_
_atom_site_label
_atom_site_type_symbol
_atom_site_fract_x
_atom_site_fract_y
_atom_site_fract_z
Y1 Y 0.000 0.000 0.000
W1 W 0.500 0.500 0.500
N1 N 0.000 0.500 0.500
O1 O 0.500 0.500 0.000

# P2IrAu, relaxed, DFT GGA-PBEsol
# **Formation energy**: 201 meV/atom
# **Distance to the lowest polymorph of the same formula**: 171.3 meV per atom
data_P2IrAu
_symmetry_space_group_name_H-M 'P 4/m m m'
_symmetry_Int_Tables_number 123
_symmetry_space_group_name_Hall '-P 4 2'
_cell_length_a 2.886
_cell_length_b 2.886
_cell_length_c 7.174
_cell_angle_alpha 90.00
_cell_angle_beta 90.00
_cell_angle_gamma 90.00
loop_
_atom_site_label
_atom_site_type_symbol
_atom_site_fract_x
_atom_site_fract_y
_atom_site_fract_z
P1 P 0.000 0.000 0.218
Ir1 Ir 0.500 0.500 0.000
Au1 Au 0.500 0.500 0.500

# NaV3H6S2O14, relaxed, DFT GGA-PBEsol
# **Energy**: -6.69 eV/atom
data_NaV3H6S2O14
_symmetry_space_group_name_H-M 'R -3 m'
_symmetry_Int_Tables_number 166
_symmetry_space_group_name_Hall '-R 3 2"'
_cell_length_a 7.2244
_cell_length_b 7.2244
_cell_length_c 16.5881
_cell_angle_alpha 90.00
_cell_angle_beta 90.00
_cell_angle_gamma 120.00
loop_
_atom_site_label
_atom_site_type_symbol
_atom_site_fract_x
_atom_site_fract_y
_atom_site_fract_z
Na1 Na 0.0000 0.0000 0.0000
V1 V 0.0000 0.5000 0.5000
H1 H 0.0669 0.5335 0.2249
S1 S 0.0000 0.0000 0.3119
O1 O 0.0000 0.0000 0.4012
O2 O 0.0760 0.5380 0.8016
O3 O 0.1080 0.5540 0.3834

# Ti3In, relaxed, DFT GGA-PBEsol
# **Formation energy**: -165 meV/atom
data_Ti3In
_symmetry_space_group_name_H-M 'P 63/m m c'
_symmetry_Int_Tables_number 194
_symmetry_space_group_name_Hall '-P 6c 2c'
_cell_length_a 5.8238
_cell_length_b 5.8238
_cell_length_c 4.7264
_cell_angle_alpha 90.00
_cell_angle_beta 90.00
_cell_angle_gamma 120.00
loop_
_atom_site_label
_atom_site_type_symbol
_atom_site_fract_x
_atom_site_fract_y
_atom_site_fract_z
Ti1 Ti 0.1646 0.3293 0.2500
In1 In 0.3333 0.6667 0.7500

no.,M_tot (μB/cell)
1,0.00
2,0.84
3,0.00
4,0.00
5,0.00
6,0.00
7,18.00
8,0.00